The following is a GGA-PBE calculation of K2PuPb2O6 after structural relaxation, from Alexandria.

The structure in CIF format:
```
data_K2PuPb2O6
_chemical_formula_sum 'K4 Pu2 Pb4 O12'
_cell_length_a 6.6471
_cell_length_b 10.4761
_cell_length_c 6.6415
_cell_angle_alpha 90.00
_cell_angle_beta 108.00
_cell_angle_gamma 90.00
_symmetry_space_group_name_H-M 'C 1 2/m 1'
_symmetry_Int_Tables_number 12
loop_
_symmetry_equiv_pos_as_xyz
'x,y,z'
'-x,-y,-z'
'-x,y,-z'
'x,-y,z'
'x+1/2,y+1/2,z'
'-x+1/2,-y+1/2,-z'
'-x+1/2,y+1/2,-z'
'x+1/2,-y+1/2,z'
loop_
_atom_site_label
_atom_site_type_symbol
_atom_site_fract_x
_atom_site_fract_y
_atom_site_fract_z
_atom_site_occupancy
K1 K 0.0000 0.1826 0.0000 1
Pu1 Pu 0.0000 0.0000 0.5000 1
Pb1 Pb 0.0000 0.3295 0.5000 1
O1 O 0.1601 0.0000 0.3016 1
O2 O 0.1976 0.1565 0.6799 1
```

The calculation puts the raw formation energy at -1.81 eV/atom. The raw total energy comes out at -147.31 eV per cell.

The following is a GGA-PBE calculation of K3PuPb2O6 after structural relaxation, from Alexandria.

The structure in CIF format:
```
data_K3PuPb2O6
_chemical_formula_sum 'K6 Pu2 Pb4 O12'
_cell_length_a 6.4674
_cell_length_b 10.9432
_cell_length_c 6.5842
_cell_angle_alpha 90.00
_cell_angle_beta 109.44
_cell_angle_gamma 90.00
_symmetry_space_group_name_H-M 'C 1 2/m 1'
_symmetry_Int_Tables_number 12
loop_
_symmetry_equiv_pos_as_xyz
'x,y,z'
'-x,-y,-z'
'-x,y,-z'
'x,-y,z'
'x+1/2,y+1/2,z'
'-x+1/2,-y+1/2,-z'
'-x+1/2,y+1/2,-z'
'x+1/2,-y+1/2,z'
loop_
_atom_site_label
_atom_site_type_symbol
_atom_site_fract_x
_atom_site_fract_y
_atom_site_fract_z
_atom_site_occupancy
K1 K 0.0000 0.0000 0.0000 1
K2 K 0.0000 0.3287 0.0000 1
Pu1 Pu 0.0000 0.5000 0.5000 1
Pb1 Pb 0.0000 0.1756 0.5000 1
O1 O 0.1888 0.5000 0.3032 1
O2 O 0.2114 0.3500 0.6983 1
```

The calculation puts the raw formation energy at -1.78 eV/atom. The raw total energy comes out at -152.20 eV per cell.